First-principles (PBE-GGA) data for a relaxed structure of Er8Si3Te3S, as listed in Alexandria via LeMat-Bulk.

Values from the calculation:
* formation energy without anion corrections: -1.073 eV/atom
* mass density: 7.5 g/cm³

The structure in CIF format:
```
data_Er8Si3Te3S
_space_group_name_H-M_alt 'R -3 m'
_space_group_IT_number 166
_space_group_name_Hall '-R 3 2"'
_cell_length_a 8.2402
_cell_length_b 8.2402
_cell_length_c 20.7043
_cell_angle_alpha 90.00
_cell_angle_beta 90.00
_cell_angle_gamma 120.00
loop_
_atom_site_label
_atom_site_type_symbol
_atom_site_fract_x
_atom_site_fract_y
_atom_site_fract_z
Er1 Er 0.0000 0.0000 0.2393
Er2 Er 0.0080 0.5040 0.7598
Si1 Si 0.0000 0.5000 0.5000
Te1 Te 0.0000 0.5000 0.0000
S1 S 0.0000 0.0000 0.5000
```